Computed, not measured: an optimized crystal structure of KCrB2F at the PBE+U level of DFT.

Output
D(E_F) ... 2.233 states/eV/f.u.
E_tot ... -4.3367 eV per atom

a = 4.113 Å, b = 4.113 Å, c = 4.548 Å
α = 90.00°, β = 90.00°, γ = 90.00°
Atoms (fractional coordinates):
K: 0.000 0.000 0.000
Cr: 0.500 0.500 0.500
B: 0.000 0.500 0.500
B: 0.500 0.000 0.500
F: 0.500 0.500 0.000